This record from the Alexandria database describes a relaxed structure of Cs3Ag2Br2Cl5. The functional is GGA-PBE.

a = 5.298 Å, b = 5.298 Å, c = 27.911 Å
α = 90.00°, β = 90.00°, γ = 90.00°
Space group I4/mmm (No. 139)
Asymmetric unit:
Cs: 0.000 0.000 0.000
Cs: 0.000 0.000 0.176
Ag: 0.000 0.000 0.408
Br: 0.000 0.000 0.311
Cl: 0.000 0.000 0.500
Cl: 0.000 0.500 0.090

- formation energy from raw total energies (kcal/mol of atoms) = -27.09
- crystal system = tetragonal
- E (eV per atom) = -2.912
- spin magnetization (μB per atom) = 0.00



This record from the Alexandria database describes a relaxed structure of Pm2NdFe. The functional is GGA-PBE.

a = 3.6877 Å, b = 3.6877 Å, c = 29.6255 Å
α = 90.00°, β = 90.00°, γ = 120.00°
Space group R-3m (No. 166, hexagonal axes)
Asymmetric unit:
Pm: 0.0000 0.0000 0.2281
Nd: 0.0000 0.0000 0.0000
Fe: 0.0000 0.0000 0.5000

- crystal system = trigonal
- offset from the most stable computed form (kJ/mol of atoms) = 8.1
- E (eV per atom) = -5.445
- spin magnetization (μB per atom) = 0.31
- energy relative to the elements (kJ/mol of formula units) = 92



This record from the Alexandria database describes a relaxed structure of CePr2YBi5. The functional is GGA-PBE.

a = 5.585 Å, b = 5.585 Å, c = 11.906 Å
α = 90.00°, β = 90.00°, γ = 90.00°
Space group P4/mmm (No. 123)
Asymmetric unit:
Ce: 0.000 0.000 0.000
Pr: 0.500 0.500 0.222
Y: 0.000 0.000 0.500
Bi: 0.000 0.000 0.255
Bi: 0.000 0.500 0.000
Bi: 0.500 0.500 0.500

- crystal system = tetragonal
- E (eV per atom) = -4.702
- spin magnetization (μB per atom) = 0.00
- energy relative to the elements (kJ/mol of formula units) = -93



This record from the Alexandria database describes a relaxed structure of Mn5Hg3S12. The functional is GGA-PBE.

a = 14.795 Å, b = 14.795 Å, c = 14.795 Å
α = 90.00°, β = 90.00°, γ = 90.00°
Space group Ia-3d (No. 230)
Asymmetric unit:
Mn: 0.000 0.000 0.000
Mn: 0.000 0.250 0.375
Hg: 0.000 0.250 0.125
S: 0.033 0.054 0.647

- formation energy from raw total energies (kcal/mol of atoms) = -3.73
- crystal system = cubic
- E (eV per atom) = -4.976
- spin magnetization (μB per atom) = 0.73



spin magnetization of number 2 (Pm2NdFe)? 0.31 μB per atom



Which of these has the highest spin magnetization? Mn5Hg3S12